Entry 1:
This record from Alexandria describes crystalline AlFeB5 at its relaxed geometry. The functional is PBE-GGA.

## Properties
Formation energy from the elements = 0.09 eV per atom
DOS at the Fermi energy = 1.54 states/eV/f.u.

Cell: 4.1956 4.2162 6.4911 Å, 88.53 88.51 77.08°
Positions (direct):
Al: 0.0000 0.0000 0.0000
Al: 0.5000 0.5000 0.5000
Fe: 0.0401 0.4603 0.7491
Fe: 0.9599 0.5397 0.2509
B: 0.0742 0.1787 0.4739
B: 0.2238 0.9360 0.6820
B: 0.3194 0.4266 0.0257
B: 0.3657 0.1334 0.2489
B: 0.4349 0.7237 0.1820
B: 0.5651 0.2763 0.8180
B: 0.6343 0.8666 0.7511
B: 0.6806 0.5734 0.9743
B: 0.7762 0.0640 0.3180
B: 0.9258 0.8213 0.5261



Entry 2:
This record from Alexandria describes crystalline KLa2TcO8 at its relaxed geometry. The functional is PBE-GGA.

## Properties
Uncorrected formation energy = -2.115 eV per atom

Cell: 4.3567 5.3728 7.4318 Å, 90.13 106.01 90.51°
Positions (direct):
K: 0.0000 0.0000 0.0000
La: 0.3772 0.4954 0.7107
La: 0.6228 0.5046 0.2893
Tc: 0.0000 0.0000 0.5000
O: 0.1686 0.5016 0.9975
O: 0.1838 0.7137 0.4071
O: 0.2009 0.2350 0.3830
O: 0.3384 0.0168 0.7227
O: 0.6616 0.9832 0.2773
O: 0.7991 0.7650 0.6170
O: 0.8162 0.2863 0.5929
O: 0.8314 0.4984 0.0025



Entry 3:
This record from Alexandria describes crystalline PmPaCdSb at its relaxed geometry. The functional is PBE-GGA.

## Properties
DOS at the Fermi energy = 8.80 states/eV/f.u.
Uncorrected formation energy = -0.211 eV per atom

Cell: 5.3578 5.3578 5.3578 Å, 60.00 60.00 60.00°
Positions (direct):
Pm: 0.0000 0.0000 0.0000
Pa: 0.5000 0.5000 0.5000
Cd: 0.2500 0.2500 0.2500
Sb: 0.7500 0.7500 0.7500



Entry 4:
This record from Alexandria describes crystalline Si4Os2Au at its relaxed geometry. The functional is PBE-GGA.

## Properties
DOS at the Fermi energy = 2.78 states/eV/f.u.
Uncorrected formation energy = -0.089 eV per atom

Cell: 3.8138 3.8138 9.2751 Å, 101.98 101.98 59.92°
Positions (direct):
Si: 0.1082 0.1082 0.3208
Si: 0.3077 0.3077 0.9234
Si: 0.6923 0.6923 0.0766
Si: 0.8918 0.8918 0.6792
Os: 0.4000 0.4000 0.1973
Os: 0.6000 0.6000 0.8027
Au: 0.5000 0.5000 0.5000



Entry 5:
This record from Alexandria describes crystalline TbSm3Pb2 at its relaxed geometry. The functional is PBE-GGA.

## Properties
Formation energy from the elements = -0.18 eV per atom
Relative energy among the computed polymorphs = 262 meV per atom
DOS at the Fermi energy = 8.01 states/eV/f.u.

Cell: 9.1676 9.1676 9.1676 Å, 133.06 71.63 129.23°
Positions (direct):
Tb: 0.0000 0.0000 0.0000
Tb: 0.5000 0.5000 0.0000
Sm: 0.0427 0.2500 0.7927
Sm: 0.2500 0.7500 0.5000
Sm: 0.4573 0.2500 0.2073
Sm: 0.5427 0.7500 0.7927
Sm: 0.7500 0.2500 0.5000
Sm: 0.9573 0.7500 0.2073
Pb: 0.1430 0.6757 0.8187
Pb: 0.3570 0.1757 0.5327
Pb: 0.6430 0.8243 0.4673
Pb: 0.8570 0.3243 0.1813